A plane-wave DFT calculation with GGA+U was carried out for a geometry-optimized YTcWF2 structure.

abc: 4.1565 4.1565 6.9540
angles: 90.00 90.00 90.00
Space group P4/mmm (No. 123)
One atom of each set of equivalent atoms:
Y  0.0000  0.0000  0.0000
Tc  0.5000  0.5000  0.0000
W  0.0000  0.0000  0.5000
F  0.0000  0.5000  0.5000

Output
Spin magnetization, μB/cell: 6.0
DOS at the Fermi energy, states/eV/cell: 2.93
E, eV/atom: -5.86